a) {
  "formula": "CaSc2Ni",
  "functional": "PBE",
  "state": "optimized geometry",
  "lattice": [[1.8585, 1.0730, 8.8758], [-1.8585, 1.0730, 8.8758], [0.0000, -2.1460, 8.8758]],
  "species": ["Ca", "Sc", "Sc", "Ni"],
  "frac_coords": [[0.0000, 0.0000, 0.0000], [0.2177, 0.2177, 0.2177], [0.7823, 0.7823, 0.7823], [0.5000, 0.5000, 0.5000]]
}



b) {
  "formula": "CaSc2Ni",
  "functional": "PBE",
  "state": "optimized geometry",
  "lattice": [[3.2741, 0.0000, 0.0000], [0.0000, 3.2741, 0.0000], [0.0000, 0.0000, 8.7916]],
  "species": ["Ca", "Sc", "Sc", "Ni"],
  "frac_coords": [[0.0000, 0.0000, 0.0000], [0.5000, 0.5000, 0.3305], [0.5000, 0.5000, 0.6695], [0.0000, 0.0000, 0.5000]]
}



b) wins, 7.2 kJ/mol of atoms ahead of the next structure.



a) {
  "formula": "CaScNi",
  "functional": "PBE",
  "state": "optimized geometry",
  "lattice": [[3.7918, 0.0000, 0.0000], [-1.8959, 3.2838, 0.0000], [0.0000, 0.0000, 6.1958]],
  "species": ["Ca", "Sc", "Ni"],
  "frac_coords": [[0.0000, 0.0000, 0.0000], [0.3333, 0.6667, 0.4889], [0.6667, 0.3333, 0.2919]]
}



b) {
  "formula": "CaScNi",
  "functional": "PBE",
  "state": "optimized geometry",
  "lattice": [[0.0000, 3.2819, 3.2819], [3.2819, 0.0000, 3.2819], [3.2819, 3.2819, 0.0000]],
  "species": ["Ca", "Sc", "Ni"],
  "frac_coords": [[0.0000, 0.0000, 0.0000], [0.5000, 0.5000, 0.5000], [0.2500, 0.2500, 0.2500]]
}



a) wins, 5.7 kJ/mol of atoms ahead of the next structure.



a) {
  "formula": "CaScNi",
  "functional": "PBE",
  "state": "optimized geometry",
  "lattice": [[9.8445, -2.3059, 0.0000], [9.8445, 2.3059, 0.0000], [-0.3555, 0.0000, 6.9442]],
  "species": ["Ca", "Ca", "Ca", "Ca", "Sc", "Sc", "Sc", "Sc", "Ni", "Ni", "Ni", "Ni"],
  "frac_coords": [[0.0753, 0.0753, 0.2966], [0.4111, 0.4111, 0.1767], [0.5889, 0.5889, 0.8233], [0.9247, 0.9247, 0.7034], [0.2103, 0.2103, 0.6100], [0.2338, 0.2338, 0.1335], [0.7662, 0.7662, 0.8665], [0.7897, 0.7897, 0.3900], [0.3210, 0.3210, 0.8428], [0.3322, 0.3322, 0.5068], [0.6678, 0.6678, 0.4932], [0.6790, 0.6790, 0.1572]]
}



b) {
  "formula": "CaScNi",
  "functional": "PBE",
  "state": "optimized geometry",
  "lattice": [[5.0393, 0.0000, 0.0000], [-0.6764, 5.0027, 0.0000], [-0.6318, -0.7402, 5.7523]],
  "species": ["Ca", "Ca", "Sc", "Sc", "Ni", "Ni"],
  "frac_coords": [[0.2339, 0.2341, 0.4276], [0.7661, 0.7659, 0.5724], [0.2962, 0.7034, 0.0005], [0.7038, 0.2966, 0.9995], [0.1714, 0.1709, 0.9148], [0.8286, 0.8291, 0.0852]]
}



c) {
  "formula": "CaScNi",
  "functional": "PBE",
  "state": "optimized geometry",
  "lattice": [[-1.6758, 1.6758, 6.0551], [1.6758, -1.6758, 6.0551], [1.6758, 1.6758, -6.0551]],
  "species": ["Ca", "Sc", "Ni"],
  "frac_coords": [[0.0000, 0.0000, 0.0000], [0.7385, 0.7385, 0.0000], [0.3377, 0.3377, 0.0000]]
}



d) {
  "formula": "CaScNi",
  "functional": "PBE",
  "state": "optimized geometry",
  "lattice": [[4.3632, 0.0000, 0.0000], [0.0000, 4.3632, 0.0000], [0.0000, 0.0000, 7.4420]],
  "species": ["Ca", "Ca", "Sc", "Sc", "Ni", "Ni"],
  "frac_coords": [[0.2500, 0.2500, 0.1375], [0.7500, 0.7500, 0.8625], [0.2500, 0.7500, 0.5000], [0.7500, 0.2500, 0.5000], [0.2500, 0.2500, 0.7018], [0.7500, 0.7500, 0.2982]]
}



d) wins, 2.5 kJ/mol of atoms ahead of the next structure.



a) {
  "formula": "CaScNi",
  "functional": "PBE",
  "state": "optimized geometry",
  "lattice": [[6.8959, -1.9409, 0.0000], [6.8959, 1.9409, 0.0000], [-1.0248, 0.0000, 5.4152]],
  "species": ["Ca", "Ca", "Sc", "Sc", "Ni", "Ni"],
  "frac_coords": [[0.0000, 0.0000, 0.0000], [0.5813, 0.5813, 0.5350], [0.2626, 0.2626, 0.8847], [0.8274, 0.8274, 0.4166], [0.2074, 0.2074, 0.3487], [0.6714, 0.6714, 0.0684]]
}



b) {
  "formula": "CaScNi",
  "functional": "PBE",
  "state": "optimized geometry",
  "lattice": [[6.0627, -1.8083, 0.0000], [6.0627, 1.8083, 0.0000], [-4.7103, 0.0000, 6.4036]],
  "species": ["Ca", "Ca", "Sc", "Sc", "Ni", "Ni"],
  "frac_coords": [[0.0000, 0.0000, 0.0000], [0.2425, 0.2425, 0.5340], [0.4017, 0.4017, 0.2911], [0.6501, 0.6501, 0.8304], [0.7296, 0.7296, 0.2217], [0.9711, 0.9711, 0.5782]]
}



b) wins, 1.1 kJ/mol of atoms ahead of the next structure.



a) {
  "formula": "CaScNi3",
  "functional": "PBE",
  "state": "optimized geometry",
  "lattice": [[4.6089, 0.0000, 0.0000], [0.0000, 4.6089, 0.0000], [0.0000, 0.0000, 4.6089]],
  "species": ["Ca", "Sc", "Ni", "Ni", "Ni"],
  "frac_coords": [[0.0000, 0.0000, 0.0000], [0.5000, 0.5000, 0.5000], [0.0000, 0.5000, 0.5000], [0.5000, 0.0000, 0.5000], [0.5000, 0.5000, 0.0000]]
}



b) {
  "formula": "CaScNi3",
  "functional": "PBE",
  "state": "optimized geometry",
  "lattice": [[4.5614, 0.0000, 0.0000], [0.0000, 4.5614, 0.0000], [0.0000, 0.0000, 4.5614]],
  "species": ["Ca", "Sc", "Ni", "Ni", "Ni"],
  "frac_coords": [[0.0000, 0.0000, 0.0000], [0.5000, 0.5000, 0.5000], [0.0000, 0.0000, 0.5000], [0.0000, 0.5000, 0.0000], [0.5000, 0.0000, 0.0000]]
}



a) wins, 53.4 kJ/mol of atoms ahead of the next structure.



a) {
  "formula": "CaSc2Ni2",
  "functional": "PBE",
  "state": "optimized geometry",
  "lattice": [[-2.1713, 2.1713, 5.4550], [2.1713, -2.1713, 5.4550], [2.1713, 2.1713, -5.4550]],
  "species": ["Ca", "Sc", "Sc", "Ni", "Ni"],
  "frac_coords": [[0.0000, 0.0000, 0.0000], [0.2500, 0.7500, 0.5000], [0.7500, 0.2500, 0.5000], [0.3910, 0.3910, 0.0000], [0.6090, 0.6090, 0.0000]]
}



b) {
  "formula": "CaSc2Ni2",
  "functional": "PBE",
  "state": "optimized geometry",
  "lattice": [[-2.3404, 2.3404, 5.0804], [2.3404, -2.3404, 5.0804], [2.3404, 2.3404, -5.0804]],
  "species": ["Ca", "Sc", "Sc", "Ni", "Ni"],
  "frac_coords": [[0.0000, 0.0000, 0.0000], [0.3404, 0.3404, 0.0000], [0.6596, 0.6596, 0.0000], [0.2500, 0.7500, 0.5000], [0.7500, 0.2500, 0.5000]]
}



c) {
  "formula": "CaSc2Ni2",
  "functional": "PBE",
  "state": "optimized geometry",
  "lattice": [[7.6275, 0.0000, 0.0000], [0.0000, 7.6275, 0.0000], [0.0000, 0.0000, 3.3617]],
  "species": ["Ca", "Ca", "Sc", "Sc", "Sc", "Sc", "Ni", "Ni", "Ni", "Ni"],
  "frac_coords": [[0.0000, 0.0000, 0.0000], [0.5000, 0.5000, 0.0000], [0.1460, 0.3540, 0.5000], [0.3540, 0.8540, 0.5000], [0.6460, 0.1460, 0.5000], [0.8540, 0.6460, 0.5000], [0.1320, 0.6320, 0.0000], [0.3680, 0.1320, 0.0000], [0.6320, 0.8680, 0.0000], [0.8680, 0.3680, 0.0000]]
}



a) wins, 1.1 kJ/mol of atoms ahead of the next structure.